Record 1
Density functional theory data (PBE) for crystalline NaPmSn at its relaxed geometry.

Cell: 5.3200 5.3200 8.3794 Å, 71.49 71.49 60.00°
Fractional coordinates of all 6 atoms:
Sn  0.5656  0.5656  0.3031
Sn  0.4344  0.4344  0.6969
Na  0.2942  0.2942  0.1175
Na  0.7058  0.7058  0.8825
Pm  0.8684  0.8684  0.3947
Pm  0.1316  0.1316  0.6053

Summary:
Formation energy from the elements = -0.277 eV per atom
Total magnetization = 0.00 μB per formula unit
V = 191.1 Å³/cell
DOS(E_F) = 2.1 states/eV/f.u.
Polymorph energy (0 for the lowest one) = 241 meV/atom

Record 2
Density functional theory data (PBE) for crystalline Na2Pm5Sn4 at its relaxed geometry.

Cell: 5.4738 7.6399 11.9438 Å, 133.99 103.25 90.00°
Fractional coordinates of all 11 atoms:
Na  0.6405  0.9866  0.2809
Na  0.3595  0.0134  0.7191
Pm  0.1510  0.7742  0.3019
Pm  0.8490  0.2258  0.6981
Pm  0.1674  0.3555  0.3348
Pm  0.5000  0.0000  0.0000
Pm  0.8326  0.6445  0.6652
Sn  0.6860  0.6244  0.3720
Sn  0.0140  0.7855  0.0280
Sn  0.3140  0.3756  0.6280
Sn  0.9860  0.2145  0.9720

Summary:
Formation energy from the elements = -0.441 eV per atom
Total magnetization = 0.00 μB per formula unit
V = 340.6 Å³/cell
DOS(E_F) = 6.0 states/eV/f.u.

Record 3
Density functional theory data (PBE) for crystalline Na2PmSn2 at its relaxed geometry.

Cell: 4.4385 4.4394 7.9653 Å, 106.18 106.18 90.00°
Fractional coordinates of all 5 atoms:
Na  0.7500  0.2499  0.5000
Na  0.2500  0.7501  0.5000
Pm  0.0000  0.0000  0.0000
Sn  0.5956  0.5955  0.1911
Sn  0.4044  0.4045  0.8089

Summary:
Formation energy from the elements = -0.316 eV per atom
Total magnetization = 0.00 μB per formula unit
V = 144.2 Å³/cell
DOS(E_F) = 2.4 states/eV/f.u.

Record 4
Density functional theory data (PBE) for crystalline Na4PmSn2 at its relaxed geometry.

Cell: 4.4552 4.5514 10.6179 Å, 102.38 90.00 90.00°
Fractional coordinates of all 7 atoms:
Na  0.5000  0.8254  0.6508
Na  0.0000  0.6776  0.3551
Na  0.5000  0.1746  0.3492
Na  0.0000  0.3224  0.6449
Pm  0.0000  0.0000  0.0000
Sn  0.5000  0.5673  0.1346
Sn  0.5000  0.4327  0.8654

Summary:
Formation energy from the elements = -0.195 eV per atom
Total magnetization = 0.00 μB per formula unit
V = 210.3 Å³/cell
DOS(E_F) = 2.4 states/eV/f.u.